[1]
Below is a relaxed structure of Y2ZrBe, with properties calculated at the PBE level.

Cell and atoms, written as POSCAR:
```
Y2ZrBe
1.0
-3.074 5.195 1.365
-5.587 1.150 -2.400
3.506 -3.834 3.363
Y Be Zr
2 1 1
Direct
0.043 0.043 0.000 Y
0.457 0.457 0.000 Y
0.250 0.750 0.500 Be
0.750 0.250 0.500 Zr
```

Output
- Space group: Immm (71)
- Final energy: -6.08 eV per atom
- Spin magnetization: 0.00 μB/atom
- Volume: 94.0 Å³ per cell


[2]
Below is a relaxed structure of YZr2Be, with properties calculated at the PBE level.

Cell and atoms, written as POSCAR:
```
YZr2Be
1.0
9.494 -0.004 -0.002
8.912 3.271 -0.002
8.912 1.582 2.863
Y Be Zr
1 1 2
Direct
0.750 0.750 0.750 Y
0.250 0.250 0.250 Be
0.980 0.980 0.980 Zr
0.520 0.520 0.520 Zr
```

Output
- Space group: R-3m (166)
- Final energy: -6.61 eV per atom
- Spin magnetization: 0.00 μB/atom
- Volume: 89.1 Å³ per cell


[3]
Below is a relaxed structure of YZr2Be, with properties calculated at the PBE level.

Cell and atoms, written as POSCAR:
```
YZr2Be
1.0
-3.275 0.861 4.263
4.680 -2.280 1.593
1.262 2.864 0.391
Y Be Zr
1 1 2
Direct
0.000 0.500 0.500 Y
0.500 0.000 0.500 Be
0.000 0.000 0.000 Zr
0.500 0.500 0.000 Zr
```

Output
- Space group: Cmmm (65)
- Final energy: -6.41 eV per atom
- Spin magnetization: 0.00 μB/atom
- Volume: 87.4 Å³ per cell


[4]
Below is a relaxed structure of Y2ZrBe, with properties calculated at the PBE level.

Cell and atoms, written as POSCAR:
```
Y2ZrBe
1.0
5.536 -0.020 0.000
1.809 5.232 0.000
-3.672 -2.606 3.220
Y Be Zr
2 1 1
Direct
0.000 0.000 0.000 Y
0.500 0.500 0.000 Y
0.750 0.250 0.500 Be
0.250 0.750 0.500 Zr
```

Output
- Space group: I4/mmm (139)
- Final energy: -6.00 eV per atom
- Spin magnetization: 0.00 μB/atom
- Volume: 93.4 Å³ per cell


[5]
Below is a relaxed structure of YZr2Be, with properties calculated at the PBE level.

Cell and atoms, written as POSCAR:
```
YZr2Be
1.0
4.135 0.000 0.000
0.000 4.135 0.000
2.067 2.067 10.401
Y Be Zr
2 2 4
Direct
0.000 0.000 0.000 Y
0.750 0.250 0.500 Y
0.500 0.500 0.000 Be
0.250 0.750 0.500 Be
0.606 0.125 0.250 Zr
0.144 0.625 0.250 Zr
0.375 0.394 0.750 Zr
0.875 0.856 0.750 Zr
```

Output
- Space group: I-42d (122)
- Final energy: -6.34 eV per atom
- Spin magnetization: 0.00 μB/atom
- Volume: 177.8 Å³ per cell


[6]
Below is a relaxed structure of YZr2Be, with properties calculated at the PBE level.

Cell and atoms, written as POSCAR:
```
YZr2Be
1.0
-0.258 -0.139 -4.944
3.404 -2.499 -2.588
-1.235 -4.210 -2.298
Y Be Zr
1 1 2
Direct
0.750 0.750 0.750 Y
0.500 0.500 0.500 Be
0.000 0.000 0.000 Zr
0.250 0.250 0.250 Zr
```

Output
- Space group: F-43m (216)
- Final energy: -6.49 eV per atom
- Spin magnetization: 0.25 μB/atom
- Volume: 85.9 Å³ per cell